Computed, not measured: an optimized crystal structure of CsBa2Ca2 at the PBE level of DFT.

Cell and atoms, written as extended XYZ:
```
10
Lattice="5.867 0.000 0.000 0.000 5.867 0.000 0.000 0.000 19.830" Properties=species:S:1:pos:R:3 pbc="T T T"
Cs 0.000 0.000 0.000
Cs 2.934 2.934 9.915
Ba 0.000 2.934 4.957
Ba 0.000 2.934 14.872
Ba 2.934 0.000 4.957
Ba 2.934 0.000 14.872
Ca 0.000 0.000 7.931
Ca 0.000 0.000 11.898
Ca 2.934 2.934 1.983
Ca 2.934 2.934 17.846
```

DFT formation energy ... 0.297 eV per atom
Space group ... I4/mmm, No. 139
Spin magnetization ... 0.00 μB per cell
Relative energy among the computed polymorphs ... 136 meV per atom

Computed, not measured: an optimized crystal structure of Sc2TaSb at the PBE level of DFT.

Cell and atoms, written as extended XYZ:
```
8
Lattice="4.256 0.000 0.000 0.000 4.256 0.000 0.000 0.000 9.227" Properties=species:S:1:pos:R:3 pbc="T T T"
Sc 0.000 2.128 2.307
Sc 0.000 2.128 6.920
Sc 2.128 0.000 2.307
Sc 2.128 0.000 6.920
Ta 0.000 0.000 0.000
Ta 2.128 2.128 4.614
Sb 0.000 0.000 4.614
Sb 2.128 2.128 0.000
```

Total DFT energy (no corrections) ... -7.331 eV per atom
Space group ... I4/mmm, No. 139
Spin magnetization ... 0.00 μB per cell

Computed, not measured: an optimized crystal structure of NbCo2Br6 at the PBE level of DFT.

Cell and atoms, written as extended XYZ:
```
18
Lattice="6.499 -5.832 0.000 6.499 5.832 0.000 -1.227 0.000 6.714" Properties=species:S:1:pos:R:3 pbc="T T T"
Nb 5.579 4.700 5.036
Nb 6.192 -4.700 1.679
Co 3.172 0.959 4.614
Co 3.786 -0.959 1.256
Co 7.985 0.959 5.458
Co 8.599 -0.959 2.101
Br 0.721 0.936 4.177
Br 3.811 2.976 5.789
Br 1.334 -0.936 0.819
Br 4.333 0.944 2.540
Br 7.347 2.976 4.283
Br 3.719 -0.944 5.897
Br 8.052 0.944 0.817
Br 4.424 -2.976 2.432
Br 7.438 -0.944 4.174
Br 10.436 0.936 5.895
Br 7.960 -2.976 0.926
Br 11.050 -0.936 2.538
```

Total DFT energy (no corrections) ... -4.177 eV per atom
Space group ... C2/c, No. 15
Spin magnetization ... 6.00 μB per cell

Computed, not measured: an optimized crystal structure of NaAlFe2Se at the PBE level of DFT.

Cell and atoms, written as extended XYZ:
```
5
Lattice="4.505 0.000 0.000 0.000 4.505 0.000 0.000 0.000 5.263" Properties=species:S:1:pos:R:3 pbc="T T T"
Na 0.000 0.000 0.000
Al 0.000 0.000 2.632
Fe 0.000 2.253 2.632
Fe 2.253 0.000 2.632
Se 2.253 2.253 0.000
```

Total DFT energy (no corrections) ... -4.255 eV per atom
Space group ... P4/mmm, No. 123
Spin magnetization ... 5.09 μB per cell

Computed, not measured: an optimized crystal structure of CaZrSc2 at the PBE level of DFT.

Cell and atoms, written as extended XYZ:
```
4
Lattice="3.242 0.000 0.000 0.000 5.153 0.000 -1.610 0.000 6.448" Properties=species:S:1:pos:R:3 pbc="T T T"
Ca 0.000 0.000 0.000
Zr 0.000 2.577 4.367
Sc 1.622 2.577 1.667
Sc 1.616 0.000 3.227
```

DFT formation energy ... 0.184 eV per atom
Space group ... Pm, No. 6
Spin magnetization ... 0.00 μB per cell
Relative energy among the computed polymorphs ... 81 meV per atom

Computed, not measured: an optimized crystal structure of TaFeTe2 at the PBE level of DFT.

Cell and atoms, written as extended XYZ:
```
8
Lattice="3.599 0.000 0.000 0.000 3.764 0.000 0.000 0.000 14.684" Properties=species:S:1:pos:R:3 pbc="T T T"
Ta 0.000 0.000 0.000
Ta 1.799 1.882 7.342
Fe 0.000 1.882 5.527
Fe 1.799 0.000 12.869
Te 0.000 0.000 8.698
Te 0.000 1.882 12.422
Te 1.799 0.000 5.080
Te 1.799 1.882 1.356
```

Total DFT energy (no corrections) ... -6.559 eV per atom
Space group ... Imm2, No. 44
Spin magnetization ... 4.04 μB per cell

Computed, not measured: an optimized crystal structure of HfPaRu at the PBE level of DFT.

Cell and atoms, written as extended XYZ:
```
18
Lattice="7.455 0.000 0.000 0.000 3.562 0.000 -0.141 0.000 14.201" Properties=species:S:1:pos:R:3 pbc="T T T"
Hf 0.056 0.890 1.258
Hf 1.094 2.671 7.761
Hf 2.580 0.890 3.051
Hf 4.735 2.671 11.150
Hf 6.221 0.890 6.440
Hf 7.258 2.671 12.943
Pa -0.057 0.890 10.244
Pa 2.491 0.890 12.980
Pa 3.633 0.890 8.586
Pa 3.681 2.671 5.615
Pa 4.823 2.671 1.221
Pa 7.371 2.671 3.957
Ru 1.611 0.890 5.770
Ru 1.960 2.671 10.733
Ru 2.192 2.671 0.998
Ru 5.122 0.890 13.203
Ru 5.354 0.890 3.468
Ru 5.703 2.671 8.431
```

DFT formation energy ... -0.357 eV per atom
Space group ... P2_1/m, No. 11
Spin magnetization ... 0.00 μB per cell
Relative energy among the computed polymorphs ... 0 meV per atom

Computed, not measured: an optimized crystal structure of GeBiAs2Br at the PBE level of DFT.

Cell and atoms, written as extended XYZ:
```
5
Lattice="5.091 0.000 0.000 0.000 5.091 0.000 0.000 0.000 5.057" Properties=species:S:1:pos:R:3 pbc="T T T"
Ge 0.000 0.000 0.000
Bi 2.546 2.546 2.528
As 0.000 2.546 0.000
As 2.546 0.000 0.000
Br 0.000 0.000 2.528
```

Space group ... P4/mmm, No. 123
Spin magnetization ... 0.00 μB per cell
Relative energy among the computed polymorphs ... 0 meV per atom

Computed, not measured: an optimized crystal structure of AuSe3 at the PBE level of DFT.

Cell and atoms, written as extended XYZ:
```
8
Lattice="5.552 0.000 0.000 0.000 5.552 0.000 0.000 0.000 5.552" Properties=species:S:1:pos:R:3 pbc="T T T"
Au 0.000 0.000 0.000
Au 2.776 2.776 2.776
Se 0.000 0.000 2.776
Se 0.000 2.776 0.000
Se 0.000 2.776 2.776
Se 2.776 0.000 0.000
Se 2.776 0.000 2.776
Se 2.776 2.776 0.000
```

Total DFT energy (no corrections) ... -3.295 eV per atom
Space group ... Im-3m, No. 229
Spin magnetization ... 0.00 μB per cell

Computed, not measured: an optimized crystal structure of TaMo2HAu at the PBE level of DFT.

Cell and atoms, written as extended XYZ:
```
5
Lattice="4.046 0.000 0.000 0.000 4.046 0.000 0.000 0.000 4.169" Properties=species:S:1:pos:R:3 pbc="T T T"
Ta 0.000 0.000 0.000
Mo 0.000 2.023 2.085
Mo 2.023 0.000 2.085
H 0.000 0.000 2.085
Au 2.023 2.023 0.000
```

Total DFT energy (no corrections) ... -8.025 eV per atom
Space group ... P4/mmm, No. 123
Spin magnetization ... 0.00 μB per cell

Computed, not measured: an optimized crystal structure of Mn2Cd2Pd3 at the PBE level of DFT.

Cell and atoms, written as extended XYZ:
```
14
Lattice="7.657 0.000 0.000 0.000 4.430 0.000 -2.598 0.000 7.341" Properties=species:S:1:pos:R:3 pbc="T T T"
Mn -0.019 0.000 2.653
Mn 1.249 2.215 4.688
Mn 3.810 2.215 2.653
Mn 5.077 0.000 4.688
Cd -1.310 2.215 6.530
Cd 2.541 0.000 0.812
Cd 2.518 0.000 6.530
Cd 6.369 2.215 0.812
Pd -1.299 2.215 3.671
Pd -0.034 0.000 5.296
Pd 1.265 2.215 2.046
Pd 2.529 0.000 3.671
Pd 3.794 2.215 5.296
Pd 5.093 0.000 2.046
```

DFT formation energy ... -0.196 eV per atom
Space group ... C2/m, No. 12
Spin magnetization ... 17.20 μB per cell

Computed, not measured: an optimized crystal structure of KWBr2 at the PBE level of DFT.

Cell and atoms, written as extended XYZ:
```
8
Lattice="8.045 0.000 0.000 0.000 3.372 0.000 -1.295 0.000 6.976" Properties=species:S:1:pos:R:3 pbc="T T T"
K 0.000 0.000 0.000
K 4.023 1.686 0.000
W -0.647 1.686 3.488
W 3.375 0.000 3.488
Br 0.986 0.000 4.788
Br 1.742 1.686 2.188
Br 5.009 1.686 4.788
Br 5.765 0.000 2.188
```

Space group ... C2/m, No. 12
Spin magnetization ... 0.00 μB per cell
Relative energy among the computed polymorphs ... 79 meV per atom